Dy2FeSbO6: relaxed, PBE with a Hubbard U.

Values from the calculation:
Size of the total moment = 3.38 Bohr magnetons per cell
Uncorrected energy = -7.26 eV per atom
V = 136.8 Å³ per cell
Symmetry = P1 (1)

The structure in extended XYZ format:
```
10
Lattice="-0.8770 5.0902 -2.2982 -2.9453 3.9047 2.8834 2.8346 4.7218 2.2340" Properties=species:S:1:pos:R:3 pbc="T T T"
O 1.2208 7.5665 0.4594
O -1.8904 8.3552 0.1435
O 0.7901 5.8942 2.6950
O -0.2869 8.5322 2.6828
O -0.4047 5.0666 -0.2523
O -2.1713 5.8563 2.8503
Sb -1.0250 3.1015 0.3183
Dy 2.4919 4.5708 2.0581
Dy -0.8322 6.6983 1.2260
Fe -1.4939 9.9700 1.7507
```